Entry 1:
Below is a relaxed structure of InMoP2, with properties calculated at the PBE level.

a b c (Å): 4.516 4.764 4.764
angles (deg): 42.79 90.00 90.00
Atoms (fractional coordinates):
1 In 0.000 0.000 0.000
2 Mo 0.500 0.610 0.610
3 P 0.000 0.722 0.722
4 P 0.500 0.319 0.319

Values from the calculation:
The value obtained for the volume is 17.40 Å³ per atom. For the calculated formation energy, the calculation gives 0.058 eV per atom. Its total energy is -6.04 eV per atom. The value obtained for the density of states at the Fermi level is 2.432 states/eV/f.u. The calculation puts the size of the total moment at 0.00 μB/f.u.

***

Entry 2:
Below is a relaxed structure of Cs2MoI4Cl2, with properties calculated at the PBE level.

a b c (Å): 7.893 7.893 6.830
angles (deg): 97.60 97.60 63.09
Atoms (fractional coordinates):
1 Cs 0.163 0.163 0.290
2 Cs 0.837 0.837 0.710
3 Mo 0.500 0.500 0.000
4 I 0.169 0.648 0.201
5 I 0.352 0.831 0.799
6 I 0.648 0.169 0.201
7 I 0.831 0.352 0.799
8 Cl 0.358 0.358 0.743
9 Cl 0.642 0.642 0.257

Values from the calculation:
The value obtained for the volume is 41.65 Å³ per atom. Its total energy is -3.48 eV per atom. The value obtained for the density of states at the Fermi level is 6.165 states/eV/f.u. The calculation puts the size of the total moment at 2.00 μB/f.u.

***

Entry 3:
Below is a relaxed structure of HfMgCd2H, with properties calculated at the PBE level.

a b c (Å): 5.636 5.636 3.613
angles (deg): 90.00 90.00 90.00
Atoms (fractional coordinates):
1 Hf 0.000 0.000 0.000
2 Mg 0.500 0.500 0.500
3 Cd 0.000 0.500 0.000
4 Cd 0.500 0.000 0.000
5 H 0.000 0.000 0.500

Values from the calculation:
The value obtained for the volume is 22.95 Å³ per atom. Its total energy is -2.95 eV per atom. The value obtained for the density of states at the Fermi level is 4.343 states/eV/f.u. The calculation puts the size of the total moment at 0.00 μB/f.u.

***

Entry 4:
Below is a relaxed structure of Na2LaI4, with properties calculated at the PBE level.

a b c (Å): 9.129 9.129 8.215
angles (deg): 116.44 116.44 27.16
Atoms (fractional coordinates):
1 Na 0.237 0.237 0.219
2 Na 0.763 0.763 0.781
3 La 0.500 0.500 0.500
4 I 0.134 0.134 0.469
5 I 0.377 0.377 0.067
6 I 0.623 0.623 0.933
7 I 0.866 0.866 0.531

Values from the calculation:
The value obtained for the volume is 39.69 Å³ per atom. Its total energy is -3.22 eV per atom. The value obtained for the density of states at the Fermi level is 3.371 states/eV/f.u. The calculation puts the size of the total moment at 0.48 μB/f.u.

***

Entry 5:
Below is a relaxed structure of GaCo2C, with properties calculated at the PBE level.

a b c (Å): 3.863 3.863 3.863
angles (deg): 60.00 60.00 60.00
Atoms (fractional coordinates):
1 Ga 0.000 0.000 0.000
2 Co 0.250 0.250 0.250
3 Co 0.750 0.750 0.750
4 C 0.500 0.500 0.500

Values from the calculation:
The value obtained for the volume is 10.19 Å³ per atom. For the calculated formation energy, the calculation gives 0.858 eV per atom. Its total energy is -5.76 eV per atom. The value obtained for the density of states at the Fermi level is 2.822 states/eV/f.u. The calculation puts the size of the total moment at 1.23 μB/f.u.

***

Entry 6:
Below is a relaxed structure of PuAlAuO6, with properties calculated at the PBE level.

a b c (Å): 5.244 5.244 9.414
angles (deg): 90.00 90.00 120.00
Atoms (fractional coordinates):
1 Pu 0.333 0.667 0.250
2 Pu 0.667 0.333 0.750
3 Al 0.333 0.667 0.750
4 Al 0.667 0.333 0.250
5 Au 0.000 0.000 0.000
6 Au 0.000 0.000 0.500
7 O 0.015 0.367 0.638
8 O 0.015 0.648 0.862
9 O 0.352 0.367 0.862
10 O 0.352 0.985 0.638
11 O 0.367 0.015 0.138
12 O 0.367 0.352 0.362
13 O 0.633 0.648 0.638
14 O 0.633 0.985 0.862
15 O 0.648 0.015 0.362
16 O 0.648 0.633 0.138
17 O 0.985 0.352 0.138
18 O 0.985 0.633 0.362

Values from the calculation:
The value obtained for the volume is 12.45 Å³ per atom. Its total energy is -7.42 eV per atom. The value obtained for the density of states at the Fermi level is 3.882 states/eV/f.u. The calculation puts the size of the total moment at 0.04 μB/f.u.

***

Entry 7:
Below is a relaxed structure of UMnOsRh, with properties calculated at the PBE level.

a b c (Å): 4.602 4.602 4.602
angles (deg): 60.00 60.00 60.00
Atoms (fractional coordinates):
1 U 0.000 0.000 0.000
2 Mn 0.500 0.500 0.500
3 Os 0.250 0.250 0.250
4 Rh 0.750 0.750 0.750

Values from the calculation:
The value obtained for the volume is 17.23 Å³ per atom. For the calculated formation energy, the calculation gives -0.039 eV per atom. Its total energy is -9.80 eV per atom. The value obtained for the density of states at the Fermi level is 5.627 states/eV/f.u. The calculation puts the size of the total moment at 6.03 μB/f.u.

***

Entry 8:
Below is a relaxed structure of LiHoAg2Cl6, with properties calculated at the PBE level.

a b c (Å): 7.250 7.250 7.250
angles (deg): 55.73 55.73 55.73
Atoms (fractional coordinates):
1 Li 0.000 0.000 0.000
2 Ho 0.497 0.497 0.497
3 Ag 0.295 0.295 0.295
4 Ag 0.793 0.793 0.793
5 Cl 0.114 0.734 0.379
6 Cl 0.234 0.616 0.880
7 Cl 0.379 0.114 0.734
8 Cl 0.616 0.880 0.234
9 Cl 0.734 0.379 0.114
10 Cl 0.880 0.234 0.616

Values from the calculation:
The value obtained for the volume is 24.29 Å³ per atom. Its total energy is -3.76 eV per atom. The value obtained for the density of states at the Fermi level is 0.000 states/eV/f.u. The calculation puts the size of the total moment at 0.00 μB/f.u.